Record 1
Below is YFeSi2 at its PBEsol-relaxed geometry, with properties calculated at the SCAN level.

Output
- Total magnetic moment: 2.60 μB/cell
- Formation energy without anion corrections: -0.130 eV/atom

abc: 3.9697 3.9697 4.0215
angles: 90.00 90.00 90.00
Closest atoms and distances in Å follow each position.
Space group P4/mmm (No. 123)
One atom of each set of equivalent atoms:
1 Y 0.0000 0.0000 0.0000 x1  4 Fe 2.81, 8 Si 2.83
2 Fe 0.5000 0.5000 0.0000 x1  4 Y 2.81, 8 Si 2.83
3 Si 0.0000 0.5000 0.5000 x2  4 Si 2.81, 4 Fe 2.83, 4 Y 2.83

Record 2
Below is YFe3Si at its PBEsol-relaxed geometry, with properties calculated at the SCAN level.

Output
- Total magnetic moment: 5.54 μB/cell
- Formation energy without anion corrections: 0.217 eV/atom

abc: 4.2221 4.2221 4.2221
angles: 90.00 90.00 90.00
Closest atoms and distances in Å follow each position.
Space group Pm-3m (No. 221)
One atom of each set of equivalent atoms:
1 Y 0.0000 0.0000 0.0000 x1  12 Fe 2.99
2 Fe 0.0000 0.5000 0.5000 x3  2 Si 2.11
3 Si 0.5000 0.5000 0.5000 x1  6 Fe 2.11

Record 3
Below is YFe10Si2 at its PBEsol-relaxed geometry, with properties calculated at the SCAN level.

Output
- Total magnetic moment: 44.21 μB/cell
- Formation energy without anion corrections: -0.233 eV/atom

abc: 4.6372 8.1675 8.2134
angles: 90.00 90.00 90.00
Closest atoms and distances in Å follow each position.
Space group Immm (No. 71)
One atom of each set of equivalent atoms:
1 Y 0.0000 0.0000 0.0000 x2  16 Fe 2.90-3.12, 4 Si 3.02
2 Fe 0.0000 0.0000 0.3621 x4  5 Fe 2.27-2.52
3 Fe 0.0000 0.2865 0.5000 x4  8 Fe 2.38-2.60, 2 Si 2.60
4 Fe 0.0000 0.3555 0.0000 x4  7 Fe 2.36-2.59, 2 Si 2.47
5 Fe 0.2500 0.2500 0.2500 x8  8 Fe 2.32-2.52, 2 Si 2.35
6 Si 0.0000 0.5000 0.2646 x4  10 Fe 2.35-2.60